The following is a DFT calculation (GGA-PBE) of a relaxed structure of InTePbSe.

Uncorrected formation energy ... -269 meV/atom

```
data_InTePbSe
_chemical_formula_sum 'In1 Te1 Pb1 Se1'
_symmetry_space_group_name_H-M 'P 3 m 1'
_symmetry_Int_Tables_number 156
_symmetry_space_group_name_Hall 'P 3 -2"'
_cell_length_a 4.3712
_cell_length_b 4.3712
_cell_length_c 9.2159
_cell_angle_alpha 90.00
_cell_angle_beta 90.00
_cell_angle_gamma 120.00
loop_
_atom_site_label
_atom_site_type_symbol
_atom_site_fract_x
_atom_site_fract_y
_atom_site_fract_z
In1 In 0.0000 0.0000 0.0000
Te1 Te 0.0000 0.0000 0.6709
Pb1 Pb 0.3333 0.6667 0.4778
Se1 Se 0.3333 0.6667 0.1295
```